(1)
Entry from Alexandria via LeMat-Bulk: a relaxed structure of BPdAu (PBE).

- ΔH_f (0 K) (eV/atom) = 0.0169
- E (eV/atom) = -5.032

a b c (Å): 3.5824 7.7874 3.2416
angles (deg): 114.66 90.22 76.73
With the nearest neighbours (Å) after each atom.
Fractional coordinates of all 6 atoms:
Au  0.1931  0.6155  0.8656  1 B 2.34
Au  0.8069  0.3845  0.1344  1 B 2.34
B  0.9798  0.0430  0.7931  2 B 1.72-1.73
B  0.0202  0.9570  0.2069  2 B 1.72-1.73
Pd  0.5843  0.8353  0.5859  4 B 2.28-2.55
Pd  0.4157  0.1647  0.4141  4 B 2.28-2.55

(2)
Entry from Alexandria via LeMat-Bulk: a relaxed structure of BPd2Au (PBE).

- ΔH_f (0 K) (eV/atom) = -0.1466
- E (eV/atom) = -5.232

a b c (Å): 3.0924 3.0924 7.1544
angles (deg): 77.92 77.92 59.97
With the nearest neighbours (Å) after each atom.
Fractional coordinates of all 4 atoms:
B  0.6671  0.6671  0.9995  6 Pd 2.13-2.14
Pd  0.0547  0.0547  0.8311  3 B 2.13
Pd  0.2787  0.2787  0.1692  3 B 2.14
Au  0.4995  0.4995  0.5002  6 Pd 2.89-2.92, 6 Au 3.09